Material: K3Se
Method: DFT, PBE-GGA
State: optimized geometry

Unit cell a=8.606 b=8.606 c=8.606 alpha=90.00 beta=90.00 gamma=90.00
Space group Fm-3m (No. 225)
Inequivalent atoms, fractional coordinates:
K: 0.000 0.000 0.000 [4 per cell]
K: 0.250 0.250 0.250 [8 per cell]
Se: 0.000 0.000 0.500 [4 per cell]

Results
Theoretical density (Mg/m³): 2.05
Energy relative to the lowest polymorph listed for this composition (eV per atom): 0.240
V (Å³/cell): 637